Arrangement one

{"formula": "Be3Si5", "functional": "PBE-GGA", "state": "relaxed", "lattice_angstrom": [[3.516, -3.854, 0.000], [3.516, 3.854, 0.000], [0.000, 0.000, 3.557]], "species": ["Si", "Si", "Si", "Si", "Si", "Be", "Be", "Be"], "frac_coords": [[0.264, 0.264, 0.500], [0.736, 0.736, 0.500], [0.000, 0.000, 0.000], [0.500, 0.000, 0.000], [0.000, 0.500, 0.000], [0.269, 0.731, 0.500], [0.500, 0.500, 0.000], [0.731, 0.269, 0.500]], "volume_a3_per_atom": 12.050, "m_tot_mub_per_cell": 0.00, "n_ef_per_ev_cell": 2.0}

Arrangement two

{"formula": "Be3Si5", "functional": "PBE-GGA", "state": "relaxed", "lattice_angstrom": [[-3.857, -2.503, -4.720], [6.312, 2.490, 0.207], [1.329, -6.560, 3.632]], "species": ["Si", "Si", "Si", "Si", "Si", "Si", "Si", "Si", "Si", "Si", "Be", "Be", "Be", "Be", "Be", "Be"], "frac_coords": [[0.838, 0.209, 0.760], [0.582, 0.951, 0.240], [0.418, 0.950, 0.500], [0.366, 0.446, 0.771], [0.922, 0.919, 0.736], [0.102, 0.179, 0.230], [0.315, 0.888, 0.956], [0.857, 0.432, 0.044], [0.691, 0.685, 0.263], [0.781, 0.537, 0.500], [0.188, 0.619, 0.671], [0.894, 0.784, 0.993], [0.395, 0.287, 0.008], [0.019, 0.448, 0.328], [0.404, 0.549, 0.501], [0.223, 0.116, 0.501]], "volume_a3_per_atom": 14.228, "m_tot_mub_per_cell": 0.00, "n_ef_per_ev_cell": 3.0}

Of them, arrangement two has the highest stability.

Arrangement one

{"formula": "Sm2BeSi3", "functional": "PBE-GGA", "state": "relaxed", "lattice_angstrom": [[4.188, 0.000, 0.000], [0.000, 3.977, 0.000], [0.000, 0.000, 6.816]], "species": ["Sm", "Sm", "Be", "Si", "Si", "Si"], "frac_coords": [[0.000, 0.000, 0.501], [0.000, 0.500, 0.001], [0.500, 0.500, 0.328], [0.500, 0.000, 0.182], [0.500, 0.000, 0.837], [0.500, 0.500, 0.652]], "volume_a3_per_atom": 18.925, "m_tot_mub_per_cell": 0.00, "n_ef_per_ev_cell": 1.6}

Arrangement two

{"formula": "Sm2BeSi3", "functional": "PBE-GGA", "state": "relaxed", "lattice_angstrom": [[5.391, 0.034, -1.987], [-1.065, 5.284, -1.987], [0.007, 0.009, 7.919]], "species": ["Si", "Si", "Si", "Si", "Si", "Si", "Sm", "Sm", "Sm", "Sm", "Be", "Be"], "frac_coords": [[0.653, 0.653, 0.828], [0.825, 0.825, 0.172], [0.347, 0.347, 0.172], [0.172, 0.172, 0.345], [0.828, 0.828, 0.655], [0.175, 0.175, 0.828], [0.750, 0.250, 0.500], [0.250, 0.750, 0.500], [0.754, 0.246, 0.000], [0.246, 0.754, 0.000], [0.334, 0.334, 0.667], [0.666, 0.666, 0.333]], "volume_a3_per_atom": 18.838, "m_tot_mub_per_cell": 0.00, "n_ef_per_ev_cell": 2.1}

Of them, arrangement two has the highest stability.

Arrangement one

{"formula": "Be2SiSn", "functional": "PBE-GGA", "state": "relaxed", "lattice_angstrom": [[4.239, 0.000, 0.000], [0.000, 4.239, 0.000], [2.120, 2.120, 7.255]], "species": ["Sn", "Sn", "Si", "Si", "Be", "Be", "Be", "Be"], "frac_coords": [[0.000, 0.000, 0.000], [0.750, 0.250, 0.500], [0.250, 0.750, 0.500], [0.500, 0.500, 0.000], [0.527, 0.125, 0.250], [0.375, 0.473, 0.750], [0.875, 0.777, 0.750], [0.223, 0.625, 0.250]], "volume_a3_per_atom": 16.297, "m_tot_mub_per_cell": 0.00, "n_ef_per_ev_cell": 1.1}

Arrangement two

{"formula": "Be2SiSn", "functional": "PBE-GGA", "state": "relaxed", "lattice_angstrom": [[0.000, 3.105, 3.105], [3.105, 0.000, 3.105], [3.105, 3.105, 0.000]], "species": ["Be", "Be", "Sn", "Si"], "frac_coords": [[0.250, 0.250, 0.250], [0.750, 0.750, 0.750], [0.500, 0.500, 0.500], [0.000, 0.000, 0.000]], "volume_a3_per_atom": 14.965, "m_tot_mub_per_cell": 0.00, "n_ef_per_ev_cell": 1.8}

Of them, arrangement one has the highest stability.

Arrangement one

{"formula": "BeSi2Sn", "functional": "PBE-GGA", "state": "relaxed", "lattice_angstrom": [[4.906, 0.000, 0.000], [0.000, 4.906, 0.000], [2.453, 2.453, 6.707]], "species": ["Si", "Si", "Si", "Si", "Sn", "Sn", "Be", "Be"], "frac_coords": [[0.875, 0.772, 0.750], [0.375, 0.478, 0.750], [0.522, 0.125, 0.250], [0.228, 0.625, 0.250], [0.000, 0.000, 0.000], [0.750, 0.250, 0.500], [0.250, 0.750, 0.500], [0.500, 0.500, 0.000]], "volume_a3_per_atom": 20.181, "m_tot_mub_per_cell": 0.00, "n_ef_per_ev_cell": 2.4}

Arrangement two

{"formula": "BeSi2Sn", "functional": "PBE-GGA", "state": "relaxed", "lattice_angstrom": [[0.000, 3.259, 3.259], [3.259, 0.000, 3.259], [3.259, 3.259, 0.000]], "species": ["Si", "Si", "Sn", "Be"], "frac_coords": [[0.250, 0.250, 0.250], [0.750, 0.750, 0.750], [0.500, 0.500, 0.500], [0.000, 0.000, 0.000]], "volume_a3_per_atom": 17.311, "m_tot_mub_per_cell": 0.00, "n_ef_per_ev_cell": 2.4}

Of them, arrangement one has the highest stability.

Arrangement one

{"formula": "Sr2BeSi", "functional": "PBE-GGA", "state": "relaxed", "lattice_angstrom": [[3.826, 0.004, 0.000], [-1.493, 3.522, 0.000], [0.000, 0.000, 9.175]], "species": ["Be", "Sr", "Sr", "Si"], "frac_coords": [[0.000, 0.000, 0.585], [0.000, 0.000, 0.922], [0.500, 0.500, 0.325], [0.500, 0.500, 0.668]], "volume_a3_per_atom": 30.924, "m_tot_mub_per_cell": 0.42, "n_ef_per_ev_cell": 3.3}

Arrangement two

{"formula": "Sr2BeSi", "functional": "PBE-GGA", "state": "relaxed", "lattice_angstrom": [[3.749, 0.000, 0.000], [0.000, 3.745, 0.000], [0.000, 0.000, 7.700]], "species": ["Sr", "Sr", "Si", "Be"], "frac_coords": [[0.000, 0.000, 0.499], [0.000, 0.000, 0.001], [0.500, 0.500, 0.750], [0.500, 0.500, 0.250]], "volume_a3_per_atom": 27.034, "m_tot_mub_per_cell": 0.00, "n_ef_per_ev_cell": 2.0}

Arrangement three

{"formula": "Sr2BeSi", "functional": "PBE-GGA", "state": "relaxed", "lattice_angstrom": [[7.868, 1.414, -0.221], [4.748, 6.431, 0.221], [-6.035, -4.362, 2.917]], "species": ["Sr", "Sr", "Si", "Be"], "frac_coords": [[0.752, 0.252, 0.500], [0.000, 0.000, 0.000], [0.344, 0.844, 0.500], [0.404, 0.404, 0.000]], "volume_a3_per_atom": 32.423, "m_tot_mub_per_cell": 0.00, "n_ef_per_ev_cell": 2.6}

Arrangement four

{"formula": "Sr2BeSi", "functional": "PBE-GGA", "state": "relaxed", "lattice_angstrom": [[3.521, 0.000, 0.000], [0.000, 3.521, 0.000], [0.000, 0.000, 8.983]], "species": ["Si", "Be", "Sr", "Sr"], "frac_coords": [[0.500, 0.500, 0.671], [0.000, 0.000, 0.580], [0.000, 0.000, 0.920], [0.500, 0.500, 0.329]], "volume_a3_per_atom": 27.838, "m_tot_mub_per_cell": 0.00, "n_ef_per_ev_cell": 4.4}

Of them, arrangement three has the highest stability.

Arrangement one

{"formula": "Sr2BeSi", "functional": "PBE-GGA", "state": "relaxed", "lattice_angstrom": [[-1.164, 2.241, 4.177], [-3.638, -0.626, 3.194], [3.156, -4.468, 5.089]], "species": ["Si", "Sr", "Sr", "Be"], "frac_coords": [[0.750, 0.750, 0.750], [0.496, 0.496, 0.513], [0.004, 0.004, 0.987], [0.250, 0.250, 0.250]], "volume_a3_per_atom": 31.835, "m_tot_mub_per_cell": 0.00, "n_ef_per_ev_cell": 3.1}

Arrangement two

{"formula": "Sr2BeSi", "functional": "PBE-GGA", "state": "relaxed", "lattice_angstrom": [[-6.132, -4.554, -4.834], [-3.638, -7.500, -3.499], [-6.603, -6.080, -1.075]], "species": ["Sr", "Sr", "Si", "Be"], "frac_coords": [[0.499, 0.499, 0.499], [0.001, 0.001, 0.001], [0.750, 0.750, 0.750], [0.250, 0.250, 0.250]], "volume_a3_per_atom": 31.520, "m_tot_mub_per_cell": 0.59, "n_ef_per_ev_cell": 4.5}

Of them, arrangement one has the highest stability.

Arrangement one

{"formula": "Sr2BeSi", "functional": "PBE-GGA", "state": "relaxed", "lattice_angstrom": [[5.498, 0.000, 0.000], [0.000, 5.498, 0.000], [2.749, 2.749, 9.476]], "species": ["Si", "Si", "Be", "Be", "Sr", "Sr", "Sr", "Sr"], "frac_coords": [[0.750, 0.250, 0.500], [0.000, 0.000, 0.000], [0.500, 0.500, 0.000], [0.250, 0.750, 0.500], [0.375, 0.374, 0.750], [0.626, 0.125, 0.250], [0.124, 0.625, 0.250], [0.875, 0.876, 0.750]], "volume_a3_per_atom": 35.809, "m_tot_mub_per_cell": 0.89, "n_ef_per_ev_cell": 6.5}

Arrangement two

{"formula": "Sr2BeSi", "functional": "PBE-GGA", "state": "relaxed", "lattice_angstrom": [[-5.006, 0.543, -1.582], [-2.488, -4.036, -2.318], [-3.864, -2.534, 2.551]], "species": ["Si", "Be", "Sr", "Sr"], "frac_coords": [[0.750, 0.750, 0.750], [0.500, 0.500, 0.500], [0.250, 0.250, 0.250], [0.000, 0.000, 0.000]], "volume_a3_per_atom": 25.990, "m_tot_mub_per_cell": 0.00, "n_ef_per_ev_cell": 4.7}

Arrangement three

{"formula": "Sr2BeSi", "functional": "PBE-GGA", "state": "relaxed", "lattice_angstrom": [[-0.624, 3.308, 1.857], [-4.658, 0.373, -2.231], [-2.582, -3.212, 4.854]], "species": ["Sr", "Sr", "Si", "Be"], "frac_coords": [[0.000, 0.000, 0.880], [0.500, 0.500, 0.370], [0.500, 0.500, 0.868], [0.000, 0.000, 0.383]], "volume_a3_per_atom": 31.690, "m_tot_mub_per_cell": 0.13, "n_ef_per_ev_cell": 3.3}

Of them, arrangement three has the highest stability.

Arrangement one

{"formula": "SrBeSi3", "functional": "PBE-GGA", "state": "relaxed", "lattice_angstrom": [[-5.400, -0.257, 1.388], [1.367, -2.323, 4.887], [0.353, 5.068, 2.310]], "species": ["Si", "Si", "Si", "Sr", "Be"], "frac_coords": [[0.000, 0.500, 0.000], [0.000, 0.000, 0.500], [0.500, 0.000, 0.000], [0.000, 0.000, 0.000], [0.500, 0.500, 0.500]], "volume_a3_per_atom": 34.771, "m_tot_mub_per_cell": 0.00, "n_ef_per_ev_cell": 9.2}

Arrangement two

{"formula": "SrBeSi3", "functional": "PBE-GGA", "state": "relaxed", "lattice_angstrom": [[-2.620, -1.741, -3.307], [-0.814, -3.675, 2.580], [-3.647, 2.071, 1.799]], "species": ["Sr", "Be", "Si", "Si", "Si"], "frac_coords": [[0.500, 0.500, 0.500], [0.000, 0.000, 0.000], [0.500, 0.000, 0.000], [0.000, 0.000, 0.500], [0.000, 0.500, 0.000]], "volume_a3_per_atom": 19.007, "m_tot_mub_per_cell": 0.00, "n_ef_per_ev_cell": 2.2}

Of them, arrangement two has the highest stability.